Here is an optimized crystal structure of ThTlTe3Au from OQMD. Energies are from GGA-PBE.

The uncorrected energy is -4.52 eV/atom.

a b c (Å): 8.1286 8.1286 11.4861
angles (deg): 90.00 90.00 148.34
Closest atoms and distances in Å follow each position.
Positions (direct):
Th: 0.0000 0.0000 0.0000  6 Te 3.14-3.16
Th: 0.0000 0.0000 0.5000  6 Te 3.14-3.16
Tl: 0.2377 0.7623 0.7500  6 Te 3.52-3.60, 2 Au 3.90
Tl: 0.7623 0.2377 0.2500  6 Te 3.52-3.60, 2 Au 3.90
Te: 0.0814 0.9186 0.2500  2 Au 2.84, 2 Th 3.14
Te: 0.3617 0.6383 0.0543  1 Au 2.79
Te: 0.3617 0.6383 0.4457  1 Au 2.79
Te: 0.6383 0.3617 0.5543  1 Au 2.79
Te: 0.6383 0.3617 0.9457  1 Au 2.79
Te: 0.9186 0.0814 0.7500  2 Au 2.84, 2 Th 3.14
Au: 0.4677 0.5323 0.2500  4 Te 2.79-2.84
Au: 0.5323 0.4677 0.7500  4 Te 2.79-2.84

Here is an optimized crystal structure of Sc3CoN2 from OQMD. Energies are from GGA-PBE.

The uncorrected energy is -8.34 eV/atom.

a b c (Å): 3.1619 3.1619 17.9342
angles (deg): 90.00 90.00 120.00
Closest atoms and distances in Å follow each position.
Positions (direct):
Sc: 0.0000 0.0000 0.0000  6 N 2.26
Sc: 0.0000 0.0000 0.5000  6 N 2.26
Sc: 0.3333 0.6667 0.1429  3 N 2.20
Sc: 0.3333 0.6667 0.3571  3 N 2.20
Sc: 0.6667 0.3333 0.6429  3 N 2.20
Sc: 0.6667 0.3333 0.8571  3 N 2.20
Co: 0.0000 0.0000 0.2500  6 Sc 2.65
Co: 0.0000 0.0000 0.7500  6 Sc 2.65
N: 0.3333 0.6667 0.5740  6 Sc 2.20-2.26
N: 0.3333 0.6667 0.9260  6 Sc 2.20-2.26
N: 0.6667 0.3333 0.0740  6 Sc 2.20-2.26
N: 0.6667 0.3333 0.4260  6 Sc 2.20-2.26

Here is an optimized crystal structure of HfNpPd from OQMD. Energies are from GGA-PBE.

The formation energy comes out at 0.2573 eV/atom.

a b c (Å): 6.6287 6.6287 6.6287
angles (deg): 90.00 90.00 90.00
Closest atoms and distances in Å follow each position.
Positions (direct):
Hf: 0.0000 0.0000 0.0000  4 Pd 2.87
Hf: 0.0000 0.5000 0.5000  4 Pd 2.87
Hf: 0.5000 0.0000 0.5000  4 Pd 2.87
Hf: 0.5000 0.5000 0.0000  4 Pd 2.87
Np: 0.0000 0.0000 0.5000  4 Pd 2.87
Np: 0.0000 0.5000 0.0000  4 Pd 2.87
Np: 0.5000 0.0000 0.0000  4 Pd 2.87
Np: 0.5000 0.5000 0.5000  4 Pd 2.87
Pd: 0.2500 0.2500 0.2500  4 Hf 2.87, 4 Np 2.87
Pd: 0.2500 0.7500 0.7500  4 Hf 2.87, 4 Np 2.87
Pd: 0.7500 0.2500 0.7500  4 Hf 2.87, 4 Np 2.87
Pd: 0.7500 0.7500 0.2500  4 Hf 2.87, 4 Np 2.87

Here is an optimized crystal structure of Cs2FeGeBr6 from OQMD. Energies are from GGA-PBE.

The uncorrected energy is -3.47 eV/atom.

a b c (Å): 7.7332 7.7332 7.7332
angles (deg): 60.00 60.00 60.00
Closest atoms and distances in Å follow each position.
Positions (direct):
Cs: 0.2500 0.2500 0.2500  12 Br 3.87
Cs: 0.7500 0.7500 0.7500  12 Br 3.87
Fe: 0.0000 0.0000 0.0000  6 Br 2.65
Ge: 0.5000 0.5000 0.5000  6 Br 2.82
Br: 0.2424 0.2424 0.7576  1 Fe 2.65, 1 Ge 2.82
Br: 0.2424 0.7576 0.2424  1 Fe 2.65, 1 Ge 2.82
Br: 0.2424 0.7576 0.7576  1 Fe 2.65, 1 Ge 2.82
Br: 0.7576 0.2424 0.2424  1 Fe 2.65, 1 Ge 2.82
Br: 0.7576 0.2424 0.7576  1 Fe 2.65, 1 Ge 2.82
Br: 0.7576 0.7576 0.2424  1 Fe 2.65, 1 Ge 2.82

Here is an optimized crystal structure of PrIrPb from OQMD. Energies are from GGA-PBE.

The uncorrected energy is -5.55 eV/atom.

a b c (Å): 6.8905 6.8905 6.8905
angles (deg): 90.00 90.00 90.00
Closest atoms and distances in Å follow each position.
Positions (direct):
Pr: 0.0000 0.0000 0.0000  4 Pb 2.98
Pr: 0.0000 0.5000 0.5000  4 Pb 2.98
Pr: 0.5000 0.0000 0.5000  4 Pb 2.98
Pr: 0.5000 0.5000 0.0000  4 Pb 2.98
Ir: 0.0000 0.0000 0.5000  4 Pb 2.98
Ir: 0.0000 0.5000 0.0000  4 Pb 2.98
Ir: 0.5000 0.0000 0.0000  4 Pb 2.98
Ir: 0.5000 0.5000 0.5000  4 Pb 2.98
Pb: 0.2500 0.2500 0.7500  4 Pr 2.98, 4 Ir 2.98
Pb: 0.2500 0.7500 0.2500  4 Pr 2.98, 4 Ir 2.98
Pb: 0.7500 0.2500 0.2500  4 Pr 2.98, 4 Ir 2.98
Pb: 0.7500 0.7500 0.7500  4 Pr 2.98, 4 Ir 2.98

Here is an optimized crystal structure of KTbCu3Te4 from OQMD. Energies are from GGA-PBE.

The uncorrected energy is -3.81 eV/atom.

a b c (Å): 6.5721 8.2525 10.4624
angles (deg): 90.00 108.14 90.00
Closest atoms and distances in Å follow each position.
Positions (direct):
K: 0.2148 0.2500 0.4232  5 Te 3.59-4.01
K: 0.7852 0.7500 0.5768  5 Te 3.59-4.01
Tb: 0.1671 0.2500 0.8242  4 Te 2.90-3.02
Tb: 0.8329 0.7500 0.1758  4 Te 2.90-3.02
Cu: 0.3383 0.7500 0.1970  2 Cu 2.55, 3 Te 2.58-2.67
Cu: 0.3396 0.5803 0.9931  2 Cu 2.46-2.55, 3 Te 2.55-2.63
Cu: 0.3396 0.9197 0.9931  2 Cu 2.46-2.55, 3 Te 2.55-2.63
Cu: 0.6604 0.0803 0.0069  2 Cu 2.46-2.55, 3 Te 2.55-2.63
Cu: 0.6604 0.4197 0.0069  2 Cu 2.46-2.55, 3 Te 2.55-2.63
Cu: 0.6617 0.2500 0.8030  2 Cu 2.55, 3 Te 2.58-2.67
Te: 0.0010 0.2500 0.0632  2 Cu 2.55
Te: 0.2141 0.7500 0.4080  1 Cu 2.58
Te: 0.4296 0.5209 0.7699  3 Cu 2.61-2.67
Te: 0.4296 0.9791 0.7699  3 Cu 2.61-2.67
Te: 0.5704 0.0209 0.2301  3 Cu 2.61-2.67
Te: 0.5704 0.4791 0.2301  3 Cu 2.61-2.67
Te: 0.7859 0.2500 0.5920  1 Cu 2.58
Te: 0.9990 0.7500 0.9368  2 Cu 2.55

Here is an optimized crystal structure of LiLaCo3 from OQMD. Energies are from GGA-PBE.

The uncorrected energy is -5.22 eV/atom.

a b c (Å): 3.1867 13.2026 13.2026
angles (deg): 16.34 90.00 90.00
Closest atoms and distances in Å follow each position.
Positions (direct):
Li: 0.0000 0.0000 0.0000  6 Co 2.45-2.47
Li: 0.0000 0.4235 0.4235  6 Co 2.45-2.47
La: 0.5000 0.5791 0.5791  1 Co 2.21
La: 0.5000 0.8445 0.8445  1 Co 2.21
Co: 0.0000 0.6698 0.6698  5 Co 2.21-2.46
Co: 0.0000 0.7542 0.7542  5 Co 2.21-2.46
Co: 0.5000 0.1687 0.1687  5 Co 2.24-2.46
Co: 0.5000 0.2543 0.2543  5 Co 2.24-2.46
Co: 0.5000 0.4945 0.4945  1 La 2.21, 6 Li 2.45-2.47
Co: 0.5000 0.9290 0.9290  1 La 2.21, 6 Li 2.45-2.47

Here is an optimized crystal structure of KBaPt from OQMD. Energies are from GGA-PBE.

The uncorrected energy is -3.32 eV/atom.

a b c (Å): 7.6573 7.6573 7.6573
angles (deg): 90.00 90.00 90.00
Closest atoms and distances in Å follow each position.
Positions (direct):
K: 0.0000 0.0000 0.0000  4 Pt 3.32
K: 0.0000 0.5000 0.5000  4 Pt 3.32
K: 0.5000 0.0000 0.5000  4 Pt 3.32
K: 0.5000 0.5000 0.0000  4 Pt 3.32
Ba: 0.0000 0.0000 0.5000  4 Pt 3.32
Ba: 0.0000 0.5000 0.0000  4 Pt 3.32
Ba: 0.5000 0.0000 0.0000  4 Pt 3.32
Ba: 0.5000 0.5000 0.5000  4 Pt 3.32
Pt: 0.2500 0.2500 0.7500  4 Ba 3.32, 4 K 3.32
Pt: 0.2500 0.7500 0.2500  4 Ba 3.32, 4 K 3.32
Pt: 0.7500 0.2500 0.2500  4 Ba 3.32, 4 K 3.32
Pt: 0.7500 0.7500 0.7500  4 Ba 3.32, 4 K 3.32

Here is an optimized crystal structure of CdCoTcSn from OQMD. Energies are from GGA-PBE.

The uncorrected energy is -5.26 eV/atom.

a b c (Å): 6.3821 6.3821 6.3821
angles (deg): 90.00 90.00 90.00
Closest atoms and distances in Å follow each position.
Positions (direct):
Cd: 0.0000 0.0000 0.0000  4 Tc 2.76, 4 Co 2.76
Cd: 0.0000 0.5000 0.5000  4 Co 2.76, 4 Tc 2.76
Cd: 0.5000 0.0000 0.5000  4 Co 2.76, 4 Tc 2.76
Cd: 0.5000 0.5000 0.0000  4 Co 2.76, 4 Tc 2.76
Co: 0.2500 0.2500 0.7500  4 Cd 2.76, 4 Sn 2.76
Co: 0.2500 0.7500 0.2500  4 Cd 2.76, 4 Sn 2.76
Co: 0.7500 0.2500 0.2500  4 Cd 2.76, 4 Sn 2.76
Co: 0.7500 0.7500 0.7500  4 Cd 2.76, 4 Sn 2.76
Tc: 0.2500 0.2500 0.2500  4 Cd 2.76, 4 Sn 2.76
Tc: 0.2500 0.7500 0.7500  4 Cd 2.76, 4 Sn 2.76
Tc: 0.7500 0.2500 0.7500  4 Cd 2.76, 4 Sn 2.76
Tc: 0.7500 0.7500 0.2500  4 Cd 2.76, 4 Sn 2.76
Sn: 0.0000 0.0000 0.5000  4 Co 2.76, 4 Tc 2.76
Sn: 0.0000 0.5000 0.0000  4 Co 2.76, 4 Tc 2.76
Sn: 0.5000 0.0000 0.0000  4 Co 2.76, 4 Tc 2.76
Sn: 0.5000 0.5000 0.5000  4 Co 2.76, 4 Tc 2.76

Here is an optimized crystal structure of Na4NiSn2Au from OQMD. Energies are from GGA-PBE.

The uncorrected energy is -2.86 eV/atom.

a b c (Å): 4.8573 4.8573 6.9359
angles (deg): 90.00 90.00 90.00
Closest atoms and distances in Å follow each position.
Positions (direct):
Na: 0.0000 0.0000 0.0000  4 Sn 2.90, 4 Na 2.98
Na: 0.0000 0.5000 0.2478  4 Na 2.98-2.99, 2 Ni 2.98, 2 Au 2.99, 1 Sn 3.31
Na: 0.5000 0.0000 0.7522  4 Na 2.98-2.99, 2 Ni 2.98, 2 Au 2.99, 1 Sn 3.31
Na: 0.5000 0.5000 0.5000  4 Na 2.99, 4 Sn 3.07
Ni: 0.5000 0.5000 0.0000  4 Sn 2.90, 4 Na 2.98
Sn: 0.0000 0.5000 0.7709  4 Na 2.90-3.07, 2 Ni 2.90, 2 Au 3.07
Sn: 0.5000 0.0000 0.2291  4 Na 2.90-3.07, 2 Ni 2.90, 2 Au 3.07
Au: 0.0000 0.0000 0.5000  4 Na 2.99, 4 Sn 3.07

Here is an optimized crystal structure of Gd3SeS2 from OQMD. Energies are from GGA-PBE.

The uncorrected energy is -6.23 eV/atom.

a b c (Å): 4.0023 4.0023 9.8123
angles (deg): 90.00 90.00 120.00
Closest atoms and distances in Å follow each position.
Positions (direct):
Gd: 0.0000 0.0000 0.0000  6 S 2.80
Gd: 0.3333 0.6667 0.3184  3 S 2.78, 3 Se 2.92
Gd: 0.6667 0.3333 0.6816  3 S 2.78, 3 Se 2.92
Se: 0.0000 0.0000 0.5000  6 Gd 2.92
S: 0.3333 0.6667 0.8387  6 Gd 2.78-2.80
S: 0.6667 0.3333 0.1613  6 Gd 2.78-2.80

Here is an optimized crystal structure of YCuSiTc from OQMD. Energies are from GGA-PBE.

The uncorrected energy is -6.49 eV/atom.

a b c (Å): 6.3621 6.3621 6.3621
angles (deg): 90.00 90.00 90.00
Closest atoms and distances in Å follow each position.
Positions (direct):
Y: 0.0000 0.0000 0.0000  4 Cu 2.75, 4 Tc 2.75
Y: 0.0000 0.5000 0.5000  4 Cu 2.75, 4 Tc 2.75
Y: 0.5000 0.0000 0.5000  4 Cu 2.75, 4 Tc 2.75
Y: 0.5000 0.5000 0.0000  4 Cu 2.75, 4 Tc 2.75
Cu: 0.2500 0.2500 0.7500  4 Si 2.75, 4 Y 2.75
Cu: 0.2500 0.7500 0.2500  4 Si 2.75, 4 Y 2.75
Cu: 0.7500 0.2500 0.2500  4 Si 2.75, 4 Y 2.75
Cu: 0.7500 0.7500 0.7500  4 Y 2.75, 4 Si 2.75
Si: 0.0000 0.0000 0.5000  4 Tc 2.75, 4 Cu 2.75
Si: 0.0000 0.5000 0.0000  4 Tc 2.75, 4 Cu 2.75
Si: 0.5000 0.0000 0.0000  4 Tc 2.75, 4 Cu 2.75
Si: 0.5000 0.5000 0.5000  4 Tc 2.75, 4 Cu 2.75
Tc: 0.2500 0.2500 0.2500  4 Si 2.75, 4 Y 2.75
Tc: 0.2500 0.7500 0.7500  4 Si 2.75, 4 Y 2.75
Tc: 0.7500 0.2500 0.7500  4 Si 2.75, 4 Y 2.75
Tc: 0.7500 0.7500 0.2500  4 Si 2.75, 4 Y 2.75